Record 1
Here is a relaxed structure of Zr4NiP6O24 from Alexandria. Energies are from PBEsol.

Cell: 8.8995 8.9923 15.2363 Å, 90.00 125.19 90.00°
Space group Pc (No. 7)
Inequivalent atoms, fractional coordinates:
Zr (0.0000, 0.1926, 0.0000) [2 per cell]
Zr (0.2312, 0.2267, 0.7411) [2 per cell]
Zr (0.4865, 0.2786, 0.4976) [2 per cell]
Zr (0.7172, 0.2800, 0.2241) [2 per cell]
Ni (0.9085, 0.4686, 0.4445) [2 per cell]
P (0.1082, 0.1301, 0.2608) [2 per cell]
P (0.3168, 0.4998, 0.1085) [2 per cell]
P (0.4025, 0.0010, 0.6271) [2 per cell]
P (0.6187, 0.3735, 0.9703) [2 per cell]
P (0.8304, 0.1602, 0.4773) [2 per cell]
P (0.8910, 0.3539, 0.7646) [2 per cell]
O (0.0512, 0.1721, 0.1472) [2 per cell]
O (0.0664, 0.3562, 0.7679) [2 per cell]
O (0.1287, 0.4119, 0.0404) [2 per cell]
O (0.1492, 0.0375, 0.7787) [2 per cell]
O (0.2433, 0.1063, 0.0505) [2 per cell]
O (0.2761, 0.2220, 0.3449) [2 per cell]
O (0.3088, 0.4004, 0.6866) [2 per cell]
O (0.3300, 0.4117, 0.5274) [2 per cell]
O (0.3607, 0.0841, 0.6980) [2 per cell]
O (0.4277, 0.1066, 0.5582) [2 per cell]
O (0.4683, 0.2654, 0.8907) [2 per cell]
O (0.4745, 0.3889, 0.1703) [2 per cell]
O (0.5551, 0.4653, 0.4463) [2 per cell]
O (0.5801, 0.0906, 0.1973) [2 per cell]
O (0.6590, 0.1551, 0.4761) [2 per cell]
O (0.6833, 0.3282, 0.0845) [2 per cell]
O (0.7191, 0.3265, 0.6523) [2 per cell]
O (0.7879, 0.3603, 0.9632) [2 per cell]
O (0.8001, 0.2745, 0.3890) [2 per cell]
O (0.8664, 0.0055, 0.4508) [2 per cell]
O (0.8664, 0.4888, 0.3030) [2 per cell]
O (0.9117, 0.2398, 0.8459) [2 per cell]
O (0.9485, 0.1679, 0.2697) [2 per cell]
O (0.9972, 0.2225, 0.5818) [2 per cell]

- final energy (eV per cell) = -589.94
- M_tot (μB/cell) = 4.00
- formation energy without anion corrections (eV/atom) = -2.621

---

Record 2
Here is a relaxed structure of NiPbO3 from Alexandria. Energies are from PBEsol.

Cell: 5.3891 5.3891 12.9775 Å, 90.00 90.00 120.00°
Space group R3c (No. 161, hexagonal axes)
Inequivalent atoms, fractional coordinates:
Ni (0.0000, 0.0000, 0.0000) [6 per cell]
Pb (0.0000, 0.0000, 0.2373) [6 per cell]
O (0.0088, 0.4228, 0.2557) [18 per cell]

- final energy (eV per cell) = -180.91
- M_tot (μB/cell) = 0.01
- formation energy without anion corrections (eV/atom) = -0.849

---

Please write out number 2 again, unchanged.
Here is a relaxed structure of NiPbO3 from Alexandria. Energies are from PBEsol.

Cell: 5.3891 5.3891 12.9775 Å, 90.00 90.00 120.00°
Space group R3c (No. 161, hexagonal axes)
Inequivalent atoms, fractional coordinates:
Ni (0.0000, 0.0000, 0.0000) [6 per cell]
Pb (0.0000, 0.0000, 0.2373) [6 per cell]
O (0.0088, 0.4228, 0.2557) [18 per cell]

- final energy (eV per cell) = -180.91
- M_tot (μB/cell) = 0.01
- formation energy without anion corrections (eV/atom) = -0.849